1.
VASP calculation (PBE) on a relaxed SrLiMg crystal.

Cell: 11.9075 5.1871 8.3725 Å, 90.00 131.78 90.00°
Positions (direct):
Sr 0.0600 0.0000 0.3056
Sr 0.4400 0.5000 0.6944
Sr 0.5600 0.5000 0.3056
Sr 0.9400 0.0000 0.6944
Li 0.1560 0.5000 0.7221
Li 0.3440 0.0000 0.2779
Li 0.6560 0.0000 0.7221
Li 0.8440 0.5000 0.2779
Mg 0.1725 0.5000 0.0997
Mg 0.3275 0.0000 0.9003
Mg 0.6725 0.0000 0.0997
Mg 0.8275 0.5000 0.9003

Computed properties:
Its relative energy among the computed polymorphs is 0.024 eV per atom. Its energy of formation from the pure elements is -25 meV/atom. As for the space group: No. 12.


2.
VASP calculation (PBE) on a relaxed SrLaPm2As4 crystal.

Cell: 7.4793 4.3158 7.5448 Å, 90.00 109.33 90.00°
Positions (direct):
Sr 0.0000 0.0000 0.0000
La 0.5000 0.5000 0.0000
Pm 0.0000 0.5000 0.5000
Pm 0.5000 0.0000 0.5000
As 0.2510 0.0000 0.7399
As 0.2601 0.5000 0.2644
As 0.7399 0.5000 0.7356
As 0.7490 0.0000 0.2601

Computed properties:
Its energy of formation from the pure elements is -1365 meV/atom. As for the space group: No. 10.


3.
VASP calculation (PBE) on a relaxed YHf2ScN4 crystal.

Cell: 6.5381 6.5381 6.5381 Å, 120.15 119.84 90.01°
Positions (direct):
Y 0.5000 0.0000 0.0000
Y 0.5000 0.5000 0.5000
Hf 0.0000 0.0000 0.0000
Hf 0.0000 0.0000 0.5000
Hf 0.0000 0.5000 0.0000
Hf 0.5000 0.0000 0.5000
Sc 0.0000 0.5000 0.5000
Sc 0.5000 0.5000 0.0000
N 0.2307 0.2469 0.9837
N 0.2368 0.7531 0.4837
N 0.2421 0.2366 0.4945
N 0.2421 0.7475 0.0055
N 0.7579 0.2525 0.9945
N 0.7579 0.7634 0.5055
N 0.7632 0.2469 0.5163
N 0.7693 0.7531 0.0163

Computed properties:
As for the space group: No. 74. The calculation puts the formation energy without anion corrections at -1.82 eV/atom.


4.
VASP calculation (PBE) on a relaxed Ac2La8Sm crystal.

Cell: 9.8998 9.8998 6.2547 Å, 105.93 105.93 122.94°
Positions (direct):
Ac 0.1916 0.8084 0.0000
Ac 0.8084 0.1916 0.0000
La 0.0785 0.0785 0.2987
La 0.1709 0.4010 0.8119
La 0.3001 0.6999 0.5000
La 0.4010 0.1709 0.8119
La 0.5990 0.8291 0.1881
La 0.6999 0.3001 0.5000
La 0.8291 0.5990 0.1881
La 0.9215 0.9215 0.7013
Sm 0.5000 0.5000 0.5000

Computed properties:
Its relative energy among the computed polymorphs is 0.002 eV per atom. Its energy of formation from the pure elements is 118 meV/atom. As for the space group: No. 12.


5.
VASP calculation (PBE) on a relaxed BaLiCaRh crystal.

Cell: 7.5530 7.5530 7.5530 Å, 90.00 90.00 90.00°
Positions (direct):
Ba 0.0000 0.0000 0.0000
Ba 0.0000 0.5000 0.5000
Ba 0.5000 0.0000 0.5000
Ba 0.5000 0.5000 0.0000
Li 0.2500 0.2500 0.7500
Li 0.2500 0.7500 0.2500
Li 0.7500 0.2500 0.2500
Li 0.7500 0.7500 0.7500
Ca 0.0000 0.0000 0.5000
Ca 0.0000 0.5000 0.0000
Ca 0.5000 0.0000 0.0000
Ca 0.5000 0.5000 0.5000
Rh 0.2500 0.2500 0.2500
Rh 0.2500 0.7500 0.7500
Rh 0.7500 0.2500 0.7500
Rh 0.7500 0.7500 0.2500

Computed properties:
Its energy of formation from the pure elements is -66 meV/atom. As for the space group: No. 216.


6.
VASP calculation (PBE) on a relaxed MgAs2Au crystal.

Cell: 3.7780 3.7780 5.5314 Å, 90.00 90.00 90.00°
Positions (direct):
Mg 0.0000 0.0000 0.0000
As 0.5000 0.5000 0.2259
As 0.5000 0.5000 0.7741
Au 0.0000 0.0000 0.5000

Computed properties:
Its energy of formation from the pure elements is -30 meV/atom. As for the space group: No. 123.


7.
VASP calculation (PBE) on a relaxed SnN crystal.

Cell: 8.7380 8.7380 3.4786 Å, 90.00 90.00 120.00°
Positions (direct):
Sn 0.1327 0.6876 0.2500
Sn 0.3124 0.4451 0.2500
Sn 0.4451 0.1327 0.7500
Sn 0.5549 0.8673 0.2500
Sn 0.6876 0.5549 0.7500
Sn 0.8673 0.3124 0.7500
N 0.0288 0.3711 0.2500
N 0.3423 0.9712 0.2500
N 0.3711 0.3423 0.7500
N 0.6289 0.6577 0.2500
N 0.6577 0.0288 0.7500
N 0.9712 0.6289 0.7500

Computed properties:
As for the space group: No. 176. The calculation puts the formation energy without anion corrections at 0.53 eV/atom.


8.
VASP calculation (PBE) on a relaxed DyY2Ho2Mg2 crystal.

Cell: 8.5718 8.5718 8.5718 Å, 37.00 37.00 37.00°
Positions (direct):
Dy 0.0000 0.0000 0.0000
Y 0.1547 0.1547 0.1547
Y 0.8453 0.8453 0.8453
Ho 0.4264 0.4264 0.4264
Ho 0.5736 0.5736 0.5736
Mg 0.2890 0.2890 0.2890
Mg 0.7110 0.7110 0.7110

Computed properties:
Its energy of formation from the pure elements is -14 meV/atom. As for the space group: No. 166.


9.
VASP calculation (PBE) on a relaxed SrPuRh4 crystal.

Cell: 5.4064 5.4064 5.4064 Å, 60.00 60.00 60.00°
Positions (direct):
Sr 0.0000 0.0000 0.0000
Pu 0.2500 0.2500 0.2500
Rh 0.1261 0.6246 0.6246
Rh 0.6246 0.1261 0.6246
Rh 0.6246 0.6246 0.1261
Rh 0.6246 0.6246 0.6246

Computed properties:
Its energy of formation from the pure elements is -339 meV/atom. As for the space group: No. 216.


10.
VASP calculation (PBE) on a relaxed Nd6SnPd5 crystal.

Cell: 6.9942 6.9942 7.4331 Å, 98.02 98.02 112.71°
Positions (direct):
Nd 0.0425 0.3983 0.7212
Nd 0.2009 0.2009 0.2171
Nd 0.3983 0.0425 0.7212
Nd 0.6017 0.9575 0.2788
Nd 0.7991 0.7991 0.7829
Nd 0.9575 0.6017 0.2788
Sn 0.5000 0.5000 0.0000
Pd 0.0000 0.0000 0.5000
Pd 0.2000 0.8000 0.0000
Pd 0.3720 0.6280 0.5000
Pd 0.6280 0.3720 0.5000
Pd 0.8000 0.2000 0.0000

Computed properties:
Its energy of formation from the pure elements is -622 meV/atom. As for the space group: No. 12.


11.
VASP calculation (PBE) on a relaxed Hf2Se3S crystal.

Cell: 7.4747 7.4747 6.8429 Å, 90.00 90.00 120.00°
Positions (direct):
Hf 0.0000 0.0000 0.0000
Hf 0.0000 0.5000 0.0000
Hf 0.5000 0.0000 0.0000
Hf 0.5000 0.5000 0.0000
Se 0.1662 0.3325 0.7666
Se 0.1662 0.8338 0.7666
Se 0.3325 0.1662 0.2334
Se 0.6675 0.8338 0.7666
Se 0.8338 0.1662 0.2334
Se 0.8338 0.6675 0.2334
S 0.3333 0.6667 0.2014
S 0.6667 0.3333 0.7986

Computed properties:
As for the space group: No. 164. The calculation puts the formation energy without anion corrections at -1.41 eV/atom.


12.
VASP calculation (PBE) on a relaxed Y2PdBr crystal.

Cell: 7.2403 7.2403 7.2403 Å, 90.00 90.00 90.00°
Positions (direct):
Y 0.2500 0.2500 0.2500
Y 0.2500 0.2500 0.7500
Y 0.2500 0.7500 0.2500
Y 0.2500 0.7500 0.7500
Y 0.7500 0.2500 0.2500
Y 0.7500 0.2500 0.7500
Y 0.7500 0.7500 0.2500
Y 0.7500 0.7500 0.7500
Pd 0.0000 0.0000 0.0000
Pd 0.0000 0.5000 0.5000
Pd 0.5000 0.0000 0.5000
Pd 0.5000 0.5000 0.0000
Br 0.0000 0.0000 0.5000
Br 0.0000 0.5000 0.0000
Br 0.5000 0.0000 0.0000
Br 0.5000 0.5000 0.5000

Computed properties:
Its relative energy among the computed polymorphs is 0.304 eV per atom. As for the space group: No. 225. The calculation puts the formation energy without anion corrections at -0.65 eV/atom.


13.
VASP calculation (PBE) on a relaxed Cs3CeNd2Se6 crystal.

Cell: 7.6558 7.6558 8.7730 Å, 98.37 98.37 119.99°
Positions (direct):
Cs 0.0000 0.0000 0.0000
Cs 0.3331 0.6669 0.0000
Cs 0.6669 0.3331 0.0000
Ce 0.5000 0.5000 0.5000
Nd 0.1666 0.8334 0.5000
Nd 0.8334 0.1666 0.5000
Se 0.1031 0.4368 0.3102
Se 0.2297 0.2297 0.6899
Se 0.4368 0.1031 0.3102
Se 0.5632 0.8969 0.6898
Se 0.7703 0.7703 0.3101
Se 0.8969 0.5632 0.6898

Computed properties:
As for the space group: No. 12. The calculation puts the formation energy without anion corrections at -1.71 eV/atom.


14.
VASP calculation (PBE) on a relaxed SmEuEr crystal.

Cell: 3.6641 3.6641 15.4864 Å, 90.00 90.00 90.00°
Positions (direct):
Sm 0.0000 0.0000 0.0000
Sm 0.5000 0.5000 0.5000
Eu 0.0000 0.0000 0.3233
Eu 0.5000 0.5000 0.8233
Er 0.0000 0.0000 0.6506
Er 0.5000 0.5000 0.1506

Computed properties:
Its energy of formation from the pure elements is 54 meV/atom. As for the space group: No. 107.


15.
VASP calculation (PBE) on a relaxed AsPRh crystal.

Cell: 3.4391 3.4529 7.9090 Å, 90.00 90.00 90.00°
Positions (direct):
As 0.0000 0.0000 0.0000
As 0.5000 0.5000 0.5000
P 0.0000 0.0000 0.3208
P 0.5000 0.5000 0.8208
Rh 0.0000 0.0000 0.6660
Rh 0.5000 0.5000 0.1660

Computed properties:
Its relative energy among the computed polymorphs is 0.680 eV per atom. Its energy of formation from the pure elements is 115 meV/atom. As for the space group: No. 44.


16.
VASP calculation (PBE) on a relaxed Tl3NiH crystal.

Cell: 5.0937 5.0937 5.0937 Å, 90.00 90.00 90.00°
Positions (direct):
Tl 0.0000 0.0000 0.5000
Tl 0.0000 0.5000 0.0000
Tl 0.5000 0.0000 0.0000
Ni 0.0000 0.0000 0.0000
H 0.5000 0.5000 0.5000

Computed properties:
Its relative energy among the computed polymorphs is 0.000 eV per atom. As for the space group: No. 221.


17.
VASP calculation (PBE) on a relaxed Tb5Er12Tm crystal.

Cell: 5.8981 10.2028 10.2032 Å, 65.29 89.84 89.87°
Positions (direct):
Tb 0.0000 0.0000 0.0000
Tb 0.0000 0.3342 0.3343
Tb 0.0000 0.6658 0.6657
Tb 0.5000 0.1659 0.1658
Tb 0.5000 0.8341 0.8342
Er 0.0461 0.0066 0.6596
Er 0.0460 0.3403 0.9932
Er 0.0499 0.6742 0.3257
Er 0.4500 0.1757 0.8244
Er 0.4540 0.5068 0.1610
Er 0.4539 0.8392 0.4933
Er 0.5461 0.1608 0.5067
Er 0.5460 0.4932 0.8390
Er 0.5500 0.8243 0.1756
Er 0.9501 0.3258 0.6743
Er 0.9540 0.6597 0.0068
Er 0.9539 0.9934 0.3404
Tm 0.5000 0.5000 0.5000

Computed properties:
Its energy of formation from the pure elements is 123 meV/atom. As for the space group: No. 2.


18.
VASP calculation (PBE) on a relaxed HfSc2BeAs crystal.

Cell: 4.6559 4.6559 4.6608 Å, 90.00 90.00 90.00°
Positions (direct):
Hf 0.0000 0.0000 0.0000
Sc 0.0000 0.5000 0.5000
Sc 0.5000 0.0000 0.5000
Be 0.0000 0.0000 0.5000
As 0.5000 0.5000 0.0000

Computed properties:
Its energy of formation from the pure elements is -53 meV/atom. As for the space group: No. 123.


19.
VASP calculation (PBE) on a relaxed Si2SF crystal.

Cell: 6.1533 6.1533 6.1533 Å, 90.00 90.00 90.00°
Positions (direct):
Si 0.2500 0.2500 0.2500
Si 0.2500 0.2500 0.7500
Si 0.2500 0.7500 0.2500
Si 0.2500 0.7500 0.7500
Si 0.7500 0.2500 0.2500
Si 0.7500 0.2500 0.7500
Si 0.7500 0.7500 0.2500
Si 0.7500 0.7500 0.7500
S 0.0000 0.0000 0.0000
S 0.0000 0.5000 0.5000
S 0.5000 0.0000 0.5000
S 0.5000 0.5000 0.0000
F 0.0000 0.0000 0.5000
F 0.0000 0.5000 0.0000
F 0.5000 0.0000 0.0000
F 0.5000 0.5000 0.5000

Computed properties:
Its relative energy among the computed polymorphs is 0.202 eV per atom. As for the space group: No. 225. The calculation puts the formation energy without anion corrections at -0.05 eV/atom.


20.
VASP calculation (PBE) on a relaxed KCeSb2 crystal.

Cell: 4.6777 4.6777 24.3109 Å, 90.00 90.00 120.00°
Positions (direct):
K 0.0000 0.0000 0.0000
K 0.3333 0.6667 0.6667
K 0.6667 0.3333 0.3333
Ce 0.0000 0.0000 0.1711
Ce 0.3333 0.6667 0.8377
Ce 0.6667 0.3333 0.5044
Sb 0.0000 0.0000 0.5680
Sb 0.0000 0.0000 0.7728
Sb 0.3333 0.6667 0.2347
Sb 0.3333 0.6667 0.4394
Sb 0.6667 0.3333 0.1061
Sb 0.6667 0.3333 0.9014

Computed properties:
Its relative energy among the computed polymorphs is 0.131 eV per atom. As for the space group: No. 160. The calculation puts the formation energy without anion corrections at -0.53 eV/atom.


21.
VASP calculation (PBE) on a relaxed BeO crystal.

Cell: 5.2082 4.6184 4.4108 Å, 70.41 56.66 52.93°
Positions (direct):
Be 0.0243 0.0243 0.7257
Be 0.2743 0.2743 0.9757
Be 0.7257 0.7257 0.0243
Be 0.9757 0.9757 0.2743
O 0.0534 0.6966 0.0534
O 0.3034 0.9466 0.3034
O 0.6966 0.0534 0.6966
O 0.9466 0.3034 0.9466

Computed properties:
Its relative energy among the computed polymorphs is 0.135 eV per atom. As for the space group: No. 70. The calculation puts the formation energy without anion corrections at -2.63 eV/atom.


22.
VASP calculation (PBE) on a relaxed CeYOsRu crystal.

Cell: 6.8795 6.8795 6.8795 Å, 90.00 90.00 90.00°
Positions (direct):
Ce 0.0000 0.0000 0.0000
Ce 0.0000 0.5000 0.5000
Ce 0.5000 0.0000 0.5000
Ce 0.5000 0.5000 0.0000
Y 0.0000 0.0000 0.5000
Y 0.0000 0.5000 0.0000
Y 0.5000 0.0000 0.0000
Y 0.5000 0.5000 0.5000
Os 0.2500 0.2500 0.2500
Os 0.2500 0.7500 0.7500
Os 0.7500 0.2500 0.7500
Os 0.7500 0.7500 0.2500
Ru 0.2500 0.2500 0.7500
Ru 0.2500 0.7500 0.2500
Ru 0.7500 0.2500 0.2500
Ru 0.7500 0.7500 0.7500

Computed properties:
Its energy of formation from the pure elements is -216 meV/atom. As for the space group: No. 216.


23.
VASP calculation (PBE) on a relaxed Nd12Zn2In5 crystal.

Cell: 9.5626 9.5626 9.2713 Å, 96.01 96.01 44.79°
Positions (direct):
Nd 0.0010 0.0010 0.1949
Nd 0.0932 0.5865 0.5597
Nd 0.0993 0.5934 0.9889
Nd 0.4066 0.9007 0.0111
Nd 0.4135 0.9068 0.4403
Nd 0.4667 0.4667 0.3175
Nd 0.5333 0.5333 0.6825
Nd 0.5865 0.0932 0.5597
Nd 0.5934 0.0993 0.9889
Nd 0.9007 0.4066 0.0111
Nd 0.9068 0.4135 0.4403
Nd 0.9990 0.9990 0.8051
Zn 0.1659 0.8341 0.5000
Zn 0.8341 0.1659 0.5000
In 0.2050 0.2050 0.7427
In 0.2739 0.2739 0.2532
In 0.5000 0.5000 0.0000
In 0.7261 0.7261 0.7468
In 0.7950 0.7950 0.2573

Computed properties:
Its energy of formation from the pure elements is -209 meV/atom. As for the space group: No. 12.


Computed values of density (unit: Mg/m³) for the preceding records, in sequence: 2.05, 5.90, 9.19, 6.77, 4.43, 7.81, 5.75, 5.84, 11.05, 7.76, 6.28, 6.37, 5.07, 7.50, 7.38, 8.45, 8.84, 5.79, 3.06, 4.57, 2.35, 10.61, 6.82.